[1]
! Ba3SnSb2Pd9, relaxed, DFT GGA-PBE; values from VASP
! - Total magnetization: 0.000 μB per atom
! - E_form (uncorrected): -0.51 eV/atom
! - Space group: P-3m1
! - D(E_F): 3.107 states/eV/cell
! - Volume: 394 Å³ per cell
! - Mass density: 7.302 g cm⁻³
&SYSTEM
  ibrav = 0, nat = 15, ntyp = 4
/
ATOMIC_SPECIES
Pd 106.42 Pd.upf
Ba 137.33 Ba.upf
Sb 121.76 Sb.upf
Sn 118.71 Sn.upf
CELL_PARAMETERS angstrom
6.8878 0.0000 0.0000
-3.4439 5.9650 0.0000
0.0000 0.0000 9.5872
ATOMIC_POSITIONS crystal
Pd 0.7309 0.8655 0.2834
Pd 0.5000 0.0000 0.0000
Pd 0.2691 0.1345 0.7166
Pd 0.0000 0.5000 0.0000
Pd 0.8655 0.7309 0.7166
Pd 0.1345 0.8655 0.2834
Pd 0.1345 0.2691 0.2834
Pd 0.5000 0.5000 0.0000
Pd 0.8655 0.1345 0.7166
Ba 0.6667 0.3333 0.3147
Ba 0.0000 0.0000 0.0000
Ba 0.3333 0.6667 0.6853
Sb 0.3333 0.6667 0.1848
Sb 0.6667 0.3333 0.8152
Sn 0.0000 0.0000 0.5000

[2]
! BaTa2SbPd, relaxed, DFT GGA-PBE; values from VASP
! - Total magnetization: 0.000 μB per atom
! - E_form (uncorrected): 0.97 eV/atom
! - Space group: P4/mmm
! - D(E_F): 6.085 states/eV/cell
! - Volume: 146 Å³ per cell
! - Mass density: 8.261 g cm⁻³
&SYSTEM
  ibrav = 0, nat = 5, ntyp = 4
/
ATOMIC_SPECIES
Ba 137.33 Ba.upf
Pd 106.42 Pd.upf
Ta 180.95 Ta.upf
Sb 121.76 Sb.upf
CELL_PARAMETERS angstrom
-2.7150 4.1368 0.1049
-4.5222 -3.0300 2.4484
1.7502 1.0343 4.5125
ATOMIC_POSITIONS crystal
Ba 0.0000 0.5000 0.0000
Pd 0.0000 0.0000 0.0000
Ta 0.5000 0.0000 0.0000
Ta 0.0000 0.0000 0.5000
Sb 0.5000 0.5000 0.5000

[3]
! Ba2TbSb4Pd3, relaxed, DFT GGA-PBE; values from VASP
! - Total magnetization: 0.000 μB per atom
! - E_form (uncorrected): -0.86 eV/atom
! - Space group: P-4m2
! - D(E_F): 4.552 states/eV/cell
! - Volume: 272 Å³ per cell
! - Mass density: 7.582 g cm⁻³
&SYSTEM
  ibrav = 0, nat = 10, ntyp = 4
/
ATOMIC_SPECIES
Pd 106.42 Pd.upf
Sb 121.76 Sb.upf
Ba 137.33 Ba.upf
Tb 158.93 Tb.upf
CELL_PARAMETERS angstrom
-0.8469 -3.8821 -2.6223
3.2695 -2.3983 2.4946
-8.4441 -3.4156 7.7834
ATOMIC_POSITIONS crystal
Pd 0.0000 0.5000 0.1152
Pd 0.0000 0.0000 0.5000
Pd 0.5000 0.0000 0.8848
Sb 0.5000 0.5000 0.0000
Sb 0.5000 0.0000 0.6510
Sb 0.0000 0.0000 0.0000
Sb 0.0000 0.5000 0.3490
Ba 0.0000 0.5000 0.7649
Ba 0.5000 0.0000 0.2351
Tb 0.5000 0.5000 0.5000

[4]
! Ba2SbTePd6, relaxed, DFT GGA-PBE; values from VASP
! - Total magnetization: 0.000 μB per atom
! - E_form (uncorrected): -0.64 eV/atom
! - Space group: P-1
! - D(E_F): 3.633 states/eV/cell
! - Volume: 247 Å³ per cell
! - Mass density: 7.813 g cm⁻³
&SYSTEM
  ibrav = 0, nat = 10, ntyp = 4
/
ATOMIC_SPECIES
Pd 106.42 Pd.upf
Sb 121.76 Sb.upf
Ba 137.33 Ba.upf
Te 127.60 Te.upf
CELL_PARAMETERS angstrom
7.0168 -0.2183 -1.0124
-0.2354 7.1294 1.0915
2.6699 4.2264 5.1986
ATOMIC_POSITIONS crystal
Pd 0.7672 0.2698 0.0030
Pd 0.2325 0.2288 0.4978
Pd 0.2328 0.7302 0.9970
Pd 0.8920 0.7475 0.8587
Pd 0.1080 0.2525 0.1413
Pd 0.7675 0.7712 0.5022
Sb 0.5000 0.5000 0.0000
Ba 0.2853 0.7492 0.4625
Ba 0.7147 0.2508 0.5375
Te 0.0000 0.0000 0.0000

Please write out number 2 again, unchanged.
! BaTa2SbPd, relaxed, DFT GGA-PBE; values from VASP
! - Total magnetization: 0.000 μB per atom
! - E_form (uncorrected): 0.97 eV/atom
! - Space group: P4/mmm
! - D(E_F): 6.085 states/eV/cell
! - Volume: 146 Å³ per cell
! - Mass density: 8.261 g cm⁻³
&SYSTEM
  ibrav = 0, nat = 5, ntyp = 4
/
ATOMIC_SPECIES
Ba 137.33 Ba.upf
Pd 106.42 Pd.upf
Ta 180.95 Ta.upf
Sb 121.76 Sb.upf
CELL_PARAMETERS angstrom
-2.7150 4.1368 0.1049
-4.5222 -3.0300 2.4484
1.7502 1.0343 4.5125
ATOMIC_POSITIONS crystal
Ba 0.0000 0.5000 0.0000
Pd 0.0000 0.0000 0.0000
Ta 0.5000 0.0000 0.0000
Ta 0.0000 0.0000 0.5000
Sb 0.5000 0.5000 0.5000

What is the volume in the second record?
146 Å³ per cell

Look up the volume of the second one.
146 Å³ per cell